Below is a geometry-optimized BaTi3Bi structure, with properties calculated at the GGA-PBE level.

CIF file:
```
data_BaTi3Bi
_chemical_formula_sum 'Ba1 Ti3 Bi1'
_cell_length_a 5.049
_cell_length_b 5.049
_cell_length_c 5.049
_cell_angle_alpha 90.00
_cell_angle_beta 90.00
_cell_angle_gamma 90.00
_symmetry_space_group_name_H-M 'P 1'
_symmetry_Int_Tables_number 1
loop_
_symmetry_equiv_pos_as_xyz
'x,y,z'
loop_
_atom_site_label
_atom_site_fract_x
_atom_site_fract_y
_atom_site_fract_z
_atom_site_occupancy
Ti1 0.000 0.000 0.500 1
Ti2 0.000 0.500 0.000 1
Ti3 0.500 0.000 0.000 1
Bi1 0.500 0.500 0.500 1
Ba1 0.000 0.000 0.000 1
```

Summary:
The formation energy comes out at 36.95 kcal/mol of atoms. The value obtained for the electronic total energy is -21.48 eV for the cell shown. As for the density of states at the Fermi level: 8.25 states/eV per cell.